A geometry-optimized PmTm2Th structure, computed with PBE-GGA.

Cell: 3.5754 3.5754 11.6235 Å, 81.15 81.15 60.00°
Fractional coordinates of all 4 atoms:
Tm1 0.0811 0.0811 0.7568
Th1 0.6664 0.6664 0.0009
Tm2 0.2521 0.2521 0.2438
Pm1 0.5005 0.5005 0.4984

Calculated values
The formation energy from the elements comes out at 0.06 eV per formula unit. The value obtained for the distance to the lowest polymorph of the same formula is 1 meV per atom.

A geometry-optimized K2Na2Rh structure, computed with PBE-GGA.

Cell: 7.8863 7.8863 5.9879 Å, 90.00 90.00 90.00°
Fractional coordinates of all 10 atoms:
K1 0.1516 0.3484 0.0000
K2 0.3484 0.8484 0.0000
Na1 0.3038 0.1962 0.5000
K3 0.8484 0.6516 0.0000
Na2 0.6962 0.8038 0.5000
Na3 0.8038 0.3038 0.5000
K4 0.6516 0.1516 0.0000
Rh1 0.0000 0.0000 0.0000
Na4 0.1962 0.6962 0.5000
Rh2 0.5000 0.5000 0.0000

Calculated values
The formation energy from the elements comes out at 2.95 eV per formula unit. The value obtained for the distance to the lowest polymorph of the same formula is 164 meV per atom.

A geometry-optimized Tb2Al5Pd3 structure, computed with PBE-GGA.

Cell: 5.7143 8.6783 8.6783 Å, 72.63 70.78 70.78°
Fractional coordinates of all 20 atoms:
Al1 0.0421 0.2079 0.2079
Al2 0.4091 0.2621 0.9198
Tb1 0.3547 0.8670 0.4235
Al3 0.7500 0.5000 0.5000
Al4 0.5421 0.2079 0.2079
Al5 0.4579 0.7921 0.7921
Pd1 0.1441 0.2611 0.4507
Al6 0.9579 0.7921 0.7921
Tb2 0.8547 0.4235 0.8670
Pd2 0.7500 0.0000 0.0000
Pd3 0.6441 0.4507 0.2611
Tb3 0.1453 0.5765 0.1330
Tb4 0.6453 0.1330 0.5765
Al7 0.5909 0.7379 0.0802
Pd4 0.2500 0.0000 0.0000
Al8 0.9091 0.9198 0.2621
Al9 0.2500 0.5000 0.5000
Pd5 0.3559 0.5493 0.7389
Al10 0.0909 0.0802 0.7379
Pd6 0.8559 0.7389 0.5493

Calculated values
The formation energy from the elements comes out at -7.97 eV per formula unit. The value obtained for the distance to the lowest polymorph of the same formula is 0 meV per atom.

A geometry-optimized CdP2Ru structure, computed with PBE-GGA.

Cell: 4.4582 4.4582 3.2328 Å, 90.00 90.00 102.77°
Fractional coordinates of all 4 atoms:
P1 0.0000 0.0000 0.0000
Cd1 0.0000 0.5000 0.5000
P2 0.5000 0.5000 0.0000
Ru1 0.5000 0.0000 0.5000

Calculated values
The formation energy from the elements comes out at 1.68 eV per formula unit.

A geometry-optimized BaBeF2 structure, computed with PBE-GGA.

Cell: 5.5235 5.5235 5.5235 Å, 49.13 49.13 49.13°
Fractional coordinates of all 4 atoms:
Be1 0.0000 0.0000 0.0000
F1 0.8943 0.8943 0.8943
F2 0.1057 0.1057 0.1057
Ba1 0.5000 0.5000 0.5000

Calculated values
The calculation puts the energy relative to the elements, uncorrected at -2.198 eV per atom. The value obtained for the distance to the lowest polymorph of the same formula is 0 meV per atom.

A geometry-optimized AlCoCl2 structure, computed with PBE-GGA.

Cell: 3.3331 3.2811 7.7310 Å, 89.97 90.00 90.00°
Site moments in Bohr magnetons follow the coordinates.
Fractional coordinates of all 4 atoms:
Cl1 0.0000 0.2508 0.4586  0.07
Co1 0.5000 0.2500 0.2500  1.96
Cl2 0.0000 0.2492 0.0414  0.07
Al1 0.5000 0.7500 0.7500  -0.01

Calculated values
The calculation puts the energy relative to the elements, uncorrected at -0.011 eV per atom. The value obtained for the distance to the lowest polymorph of the same formula is 549 meV per atom.

A geometry-optimized MgTi3Pd7 structure, computed with PBE-GGA.

Cell: 4.9087 6.8846 6.8846 Å, 87.55 115.97 115.97°
Fractional coordinates of all 11 atoms:
Pd1 0.0000 0.5000 0.5000
Pd2 0.2509 0.1769 0.1769
Pd3 0.7491 0.8231 0.8231
Ti1 0.0000 0.2307 0.7693
Ti2 0.5000 0.0000 0.0000
Mg1 0.5000 0.5000 0.5000
Pd4 0.6732 0.9611 0.3965
Pd5 0.3268 0.6035 0.0389
Pd6 0.6732 0.3965 0.9611
Pd7 0.3268 0.0389 0.6035
Ti3 0.0000 0.7693 0.2307

Calculated values
The formation energy from the elements comes out at -4.14 eV per formula unit.

A geometry-optimized Rb3InAu2 structure, computed with PBE-GGA.

Cell: 5.1419 9.8483 11.7644 Å, 71.59 77.38 74.87°
Fractional coordinates of all 12 atoms:
Au1 0.1262 0.5169 0.2306
Au2 0.5939 0.2574 0.5548
Rb1 0.0509 0.1343 0.7639
Rb2 0.9491 0.8657 0.2361
In1 0.4205 0.4997 0.6593
Rb3 0.2224 0.1654 0.3898
Au3 0.8738 0.4831 0.7694
Rb4 0.3381 0.3269 0.9969
Rb5 0.6619 0.6731 0.0031
Au4 0.4061 0.7426 0.4452
In2 0.5795 0.5003 0.3407
Rb6 0.7776 0.8346 0.6102

Calculated values
The formation energy from the elements comes out at -1.13 eV per formula unit. The value obtained for the distance to the lowest polymorph of the same formula is 0 meV per atom.

A geometry-optimized GaS3Br3 structure, computed with PBE-GGA.

Cell: 14.9707 8.0106 7.4674 Å, 51.78 65.38 56.03°
Fractional coordinates of all 14 atoms:
S1 0.8109 0.0200 0.0686
Ga1 0.3695 0.0588 0.9950
Br1 0.7692 0.5955 0.0326
Br2 0.5221 0.1438 0.6905
Br3 0.0555 0.6640 0.4318
Br4 0.2308 0.4045 0.9674
S2 0.3476 0.7904 0.0196
Br5 0.9445 0.3360 0.5682
S3 0.6524 0.2096 0.9804
Ga2 0.6305 0.9412 0.0050
Br6 0.4779 0.8562 0.3095
S4 0.0816 0.9980 0.1936
S5 0.9184 0.0020 0.8064
S6 0.1891 0.9800 0.9314

Calculated values
The calculation puts the energy relative to the elements, uncorrected at -0.358 eV per atom.

A geometry-optimized Sc2InW structure, computed with PBE-GGA.

Cell: 5.3475 5.3475 5.3482 Å, 82.11 82.11 32.50°
Fractional coordinates of all 4 atoms:
In1 0.2396 0.2396 0.2444
W1 0.5068 0.5068 0.5162
Sc1 0.7645 0.7645 0.7237
Sc2 0.9891 0.9891 0.0157

Calculated values
The formation energy from the elements comes out at 0.43 eV per formula unit.

A geometry-optimized ErTm2Se structure, computed with PBE-GGA.

Cell: 3.7292 3.7292 9.5282 Å, 78.71 78.71 60.00°
Site moments in Bohr magnetons follow the coordinates.
Fractional coordinates of all 4 atoms:
Er1 0.4996 0.4996 0.5012  0.09
Se1 0.6666 0.6666 0.0001  0.00
Tm1 0.2667 0.2667 0.1999  0.01
Tm2 0.0671 0.0671 0.7988  0.05

Calculated values
The calculation puts the energy relative to the elements, uncorrected at -0.789 eV per atom. The value obtained for the distance to the lowest polymorph of the same formula is 0 meV per atom.

A geometry-optimized Ac2MgIn6Ni structure, computed with PBE-GGA.

Cell: 6.3184 7.0111 7.0111 Å, 120.00 90.00 90.00°
Fractional coordinates of all 10 atoms:
In1 0.8104 0.6225 0.8113
Ni1 0.0000 0.0000 0.0000
Mg1 0.5000 0.0000 0.0000
Ac1 0.6701 0.6667 0.3333
In2 0.1896 0.3775 0.1887
In3 0.1896 0.8113 0.1887
In4 0.1896 0.8113 0.6225
Ac2 0.3299 0.3333 0.6667
In5 0.8104 0.1887 0.3775
In6 0.8104 0.1887 0.8113

Calculated values
The formation energy from the elements comes out at -3.50 eV per formula unit.

Calculated size of the total moment, 0.0, 0.0, 0.0, 0.0, 0.0, 2.1, 0.0, 0.0, 0.0, 0.0, 0.2, 0.0 μB per cell (same order as the records).
Calculated density of states at the Fermi level, 6.24, 11.65, 9.25, 4.08, 0.99, 4.84, 7.78, 5.42, 0.00, 4.14, 4.32, 2.40 states/eV per cell (same order as the records).